A:
SiH2SeS | GGA-PBE | optimized geometry

a b c (Å): 4.6967 5.0939 5.3672
angles (deg): 106.59 104.18 113.77
With the nearest neighbours (Å) after each atom.
Sites, in units of the cell vectors:
H  0.3014  0.3842  0.0911  1 Si 1.49
H  0.8397  0.9187  0.1001  1 Si 1.49
S  0.0162  0.5541  0.5091  1 Si 2.16, 1 Se 2.26
Si  0.1499  0.2412  0.2660  2 H 1.49
Se  0.5751  0.2036  0.5586  1 S 2.26, 1 Si 2.33

Output
M_tot ... 0.00 μB per formula unit
Theoretical density ... 2.28 Mg/m³
SG ... No. 1



B:
SiH2SeS | GGA-PBE | optimized geometry

a b c (Å): 3.9516 4.2803 5.9936
angles (deg): 91.51 93.75 90.51
With the nearest neighbours (Å) after each atom.
Sites, in units of the cell vectors:
Si  0.9759  0.5229  0.0204  1 S 2.22
H  0.7889  0.3306  0.4143  1 S 1.35
H  0.4078  0.9078  0.7529  1 Se 1.49
Se  0.4466  0.9200  0.0014  1 H 1.49
S  0.0401  0.5417  0.3914  1 H 1.35

Output
M_tot ... 0.00 μB per formula unit
Theoretical density ... 2.32 Mg/m³
SG ... No. 1



C:
SiH2SeS | GGA-PBE | optimized geometry

a b c (Å): 3.4499 5.0075 6.7505
angles (deg): 68.49 87.50 88.82
With the nearest neighbours (Å) after each atom.
Sites, in units of the cell vectors:
Si  0.6542  0.4684  0.2406  1 H 1.49
H  0.0090  0.6419  0.8449  1 Se 1.50
H  0.6584  0.7682  0.2352  1 Si 1.49
S  0.1497  0.2365  0.4195  2 Si 2.17-2.19
Se  0.6463  0.4654  0.9024  1 H 1.50

Output
M_tot ... 0.00 μB per formula unit
Theoretical density ... 2.16 Mg/m³
SG ... No. 1



D:
SiH2SeS | GGA-PBE | optimized geometry

a b c (Å): 3.6094 3.6155 9.6298
angles (deg): 81.26 86.53 60.63
With the nearest neighbours (Å) after each atom.
Sites, in units of the cell vectors:
Se  0.5862  0.6128  0.7208  3 Si 2.50-2.52
S  0.5511  0.3975  0.2807  2 H 1.35
H  0.6832  0.0566  0.2112  1 S 1.35
H  0.9382  0.2458  0.3402  1 S 1.35
Si  0.9271  0.8839  0.8667  3 Se 2.50-2.52

Output
M_tot ... 0.00 μB per formula unit
Theoretical density ... 2.17 Mg/m³
SG ... No. 1



Result of the stability comparison: C is the most stable of them.



A:
SiHS2 | GGA-PBE | optimized geometry

a b c (Å): 5.7400 8.8686 6.7393
angles (deg): 90.00 90.00 90.00
With the nearest neighbours (Å) after each atom.
Sites, in units of the cell vectors:
H  0.5635  0.2008  0.4535  1 S 1.36
H  0.0635  0.2992  0.9535  1 S 1.36
H  0.5635  0.7008  0.0465  1 S 1.36
H  0.0635  0.7992  0.5465  1 S 1.36
S  0.1054  0.9922  0.1592  2 Si 2.16-2.19
S  0.0940  0.7670  0.7414  1 H 1.36
S  0.6054  0.0078  0.8408  2 Si 2.16-2.19
S  0.1054  0.4922  0.3408  2 Si 2.16-2.19
S  0.0940  0.2670  0.7586  1 H 1.36
S  0.6054  0.5078  0.6592  2 Si 2.16-2.19
S  0.5940  0.7330  0.2414  1 H 1.36
S  0.5940  0.2330  0.2586  1 H 1.36
Si  0.4869  0.9996  0.1454  3 S 2.16-2.29
Si  0.9869  0.5004  0.6454  3 S 2.16-2.29
Si  0.9869  0.0004  0.8546  3 S 2.16-2.29
Si  0.4869  0.4996  0.3546  3 S 2.16-2.29

Output
M_tot ... 0.00 μB per formula unit
Theoretical density ... 1.80 Mg/m³
SG ... No. 33



B:
SiHS2 | GGA-PBE | optimized geometry

a b c (Å): 5.5932 5.5932 5.5086
angles (deg): 59.49 59.49 90.00
With the nearest neighbours (Å) after each atom.
Sites, in units of the cell vectors:
S  0.3750  0.3707  0.7500  2 Si 2.18, 2 H 2.21
S  0.8750  0.8793  0.7500  2 Si 2.18, 2 H 2.21
S  0.1207  0.6250  0.2500  2 Si 2.18, 2 H 2.21
S  0.6293  0.1250  0.2500  2 Si 2.18, 2 H 2.21
H  0.2500  0.7500  0.5000  4 S 2.21
H  0.5000  0.5000  0.0000  4 S 2.21
Si  0.7500  0.2500  0.5000  4 S 2.18
Si  0.0000  0.0000  0.0000  4 S 2.18

Output
M_tot ... 0.00 μB per formula unit
Theoretical density ... 2.58 Mg/m³
SG ... No. 122



C:
SiHS2 | GGA-PBE | optimized geometry

a b c (Å): 5.9796 8.4885 8.4912
angles (deg): 132.12 69.38 69.38
With the nearest neighbours (Å) after each atom.
Sites, in units of the cell vectors:
Si  0.5755  0.4967  0.0040  6 S 2.44-2.45
Si  0.0755  0.4967  0.0040  6 S 2.44-2.45
H  0.1528  0.0153  0.8309  1 S 1.36
H  0.6516  0.3248  0.5237  1 S 1.36
S  0.3257  0.0544  0.4459  4 Si 2.44
S  0.2782  0.6684  0.9269  1 H 1.36
S  0.8262  0.9382  0.5612  4 Si 2.44
S  0.7792  0.4187  0.1747  1 H 1.36

Output
M_tot ... 0.00 μB per formula unit
Theoretical density ... 1.95 Mg/m³
SG ... No. 46



D:
SiHS2 | GGA-PBE | optimized geometry

a b c (Å): 4.1312 4.1312 4.1312
angles (deg): 60.00 60.00 60.00
With the nearest neighbours (Å) after each atom.
Sites, in units of the cell vectors:
S  0.2500  0.2500  0.2500  4 H 2.53, 4 Si 2.53
S  0.7500  0.7500  0.7500  4 H 2.53, 4 Si 2.53
H  0.0000  0.0000  0.0000  8 S 2.53
Si  0.5000  0.5000  0.5000  8 S 2.53

Output
M_tot ... 0.00 μB per formula unit
Theoretical density ... 3.11 Mg/m³
SG ... No. 225



Result of the stability comparison: A is the most stable of them.



A:
SiH2S | GGA-PBE | optimized geometry

a b c (Å): 3.7238 3.7238 3.7238
angles (deg): 60.00 60.00 60.00
With the nearest neighbours (Å) after each atom.
Sites, in units of the cell vectors:
S  0.5000  0.5000  0.5000  8 H 2.28
H  0.2500  0.2500  0.2500  4 S 2.28, 4 Si 2.28
H  0.7500  0.7500  0.7500  4 S 2.28, 4 Si 2.28
Si  0.0000  0.0000  0.0000  8 H 2.28

Output
M_tot ... 0.00 μB per formula unit
Theoretical density ... 2.83 Mg/m³
SG ... No. 225



B:
SiH2S | GGA-PBE | optimized geometry

a b c (Å): 5.0201 3.3158 8.7069
angles (deg): 90.00 90.00 89.96
With the nearest neighbours (Å) after each atom.
Sites, in units of the cell vectors:
S  0.8545  0.2443  0.7500  2 Si 2.15
S  0.1455  0.7557  0.2500  2 Si 2.15
H  0.4119  0.7449  0.6098  1 Si 1.49
H  0.4119  0.7449  0.8902  1 Si 1.49
H  0.5881  0.2551  0.3902  1 Si 1.49
H  0.5881  0.2551  0.1098  1 Si 1.49
Si  0.5825  0.7446  0.7500  2 H 1.49
Si  0.4175  0.2554  0.2500  2 H 1.49

Output
M_tot ... 0.00 μB per formula unit
Theoretical density ... 1.42 Mg/m³
SG ... No. 11



C:
SiH2S | GGA-PBE | optimized geometry

a b c (Å): 5.0944 5.0944 5.0272
angles (deg): 59.56 59.56 90.00
With the nearest neighbours (Å) after each atom.
Sites, in units of the cell vectors:
Si  0.2500  0.7500  0.5000  4 H 1.60
Si  0.5000  0.5000  0.0000  4 H 1.60
H  0.8750  0.7031  0.7500  2 Si 1.60
H  0.2969  0.6250  0.2500  2 Si 1.60
H  0.3750  0.5469  0.7500  2 Si 1.60
H  0.4531  0.1250  0.2500  2 Si 1.60
S  0.0000  0.0000  0.0000  8 H 2.65-2.95
S  0.7500  0.2500  0.5000  8 H 2.65-2.95

Output
M_tot ... 0.00 μB per formula unit
Theoretical density ... 2.27 Mg/m³
SG ... No. 122



Result of the stability comparison: B is the most stable of them.



A:
Si2HS | GGA-PBE | optimized geometry

a b c (Å): 4.8927 4.8927 5.9578
angles (deg): 65.76 65.76 90.00
With the nearest neighbours (Å) after each atom.
Sites, in units of the cell vectors:
Si  0.5296  0.1250  0.2500  2 H 1.88
Si  0.3750  0.4704  0.7500  2 H 1.88
Si  0.8750  0.7796  0.7500  2 H 1.88
Si  0.2204  0.6250  0.2500  2 H 1.88
S  0.0000  0.0000  0.0000  4 Si 2.41
S  0.7500  0.2500  0.5000  4 Si 2.41
H  0.5000  0.5000  0.0000  4 Si 1.88
H  0.2500  0.7500  0.5000  4 Si 1.88

Output
M_tot ... 0.00 μB per formula unit
Theoretical density ... 2.55 Mg/m³
SG ... No. 122



B:
Si2HS | GGA-PBE | optimized geometry

a b c (Å): 4.1724 4.1724 4.1724
angles (deg): 60.00 60.00 60.00
With the nearest neighbours (Å) after each atom.
Sites, in units of the cell vectors:
Si  0.2500  0.2500  0.2500  4 S 2.56, 4 H 2.56
Si  0.7500  0.7500  0.7500  4 S 2.56, 4 H 2.56
S  0.5000  0.5000  0.5000  8 Si 2.56
H  0.0000  0.0000  0.0000  8 Si 2.56

Output
M_tot ... 0.00 μB per formula unit
Theoretical density ... 2.89 Mg/m³
SG ... No. 225



Result of the stability comparison: A is the most stable of them.



A:
SnH2S | GGA-PBE | optimized geometry

a b c (Å): 3.2880 3.2880 5.8279
angles (deg): 73.62 73.62 60.00
With the nearest neighbours (Å) after each atom.
Sites, in units of the cell vectors:
S  0.5000  0.5000  0.5000  6 H 1.95
H  0.8603  0.8603  0.4190  3 S 1.95, 3 H 2.10
H  0.1397  0.1397  0.5810  3 S 1.95, 3 H 2.10
Sn  0.0000  0.0000  0.0000  2 H 2.31

Output
M_tot ... 0.00 μB per formula unit
Theoretical density ... 4.92 Mg/m³
SG ... No. 166



B:
SnH2S | GGA-PBE | optimized geometry

a b c (Å): 4.6600 7.4622 8.4537
angles (deg): 89.86 90.00 90.00
With the nearest neighbours (Å) after each atom.
Sites, in units of the cell vectors:
H  0.0045  0.0635  0.8514  1 Sn 1.71
H  0.9940  0.4364  0.8521  1 Sn 1.71
H  0.4955  0.5635  0.3514  1 Sn 1.71
H  0.5060  0.9364  0.3521  1 Sn 1.71
H  0.4940  0.0636  0.6479  1 Sn 1.71
H  0.5045  0.4365  0.6486  1 Sn 1.71
H  0.9955  0.9365  0.1486  1 Sn 1.71
H  0.0060  0.5636  0.1479  1 Sn 1.71
Sn  0.2494  0.5544  0.7503  2 H 1.71
Sn  0.7494  0.9456  0.7497  2 H 1.71
Sn  0.7506  0.4456  0.2497  2 H 1.71
Sn  0.2506  0.0544  0.2503  2 H 1.71
S  0.4993  0.7499  0.9382  2 Sn 2.45
S  0.5007  0.2501  0.0618  2 Sn 2.45
S  0.9993  0.7501  0.5618  2 Sn 2.45
S  0.0007  0.2499  0.4382  2 Sn 2.45

Output
M_tot ... 0.00 μB per formula unit
Theoretical density ... 3.45 Mg/m³
SG ... No. 14



C:
SnH2S | GGA-PBE | optimized geometry

a b c (Å): 4.1025 4.1025 4.1025
angles (deg): 60.00 60.00 60.00
With the nearest neighbours (Å) after each atom.
Sites, in units of the cell vectors:
H  0.7500  0.7500  0.7500  4 Sn 2.51, 4 S 2.51
H  0.2500  0.2500  0.2500  4 S 2.51, 4 Sn 2.51
S  0.0000  0.0000  0.0000  8 H 2.51
Sn  0.5000  0.5000  0.5000  8 H 2.51

Output
M_tot ... 0.00 μB per formula unit
Theoretical density ... 5.20 Mg/m³
SG ... No. 225



Result of the stability comparison: B is the most stable of them.



A:
SnHS3 | GGA-PBE | optimized geometry

a b c (Å): 5.0329 5.0329 5.0329
angles (deg): 90.00 90.00 90.00
With the nearest neighbours (Å) after each atom.
Sites, in units of the cell vectors:
S  0.5000  0.0000  0.0000  2 Sn 2.52
S  0.0000  0.0000  0.5000  2 Sn 2.52
S  0.0000  0.5000  0.0000  2 Sn 2.52
H  0.5000  0.5000  0.5000  12 S 3.56
Sn  0.0000  0.0000  0.0000  6 S 2.52

Output
M_tot ... 0.97 μB per formula unit
Theoretical density ... 2.81 Mg/m³
SG ... No. 221



B:
SnHS3 | GGA-PBE | optimized geometry

a b c (Å): 5.0988 5.0988 5.0988
angles (deg): 85.95 85.95 85.95
With the nearest neighbours (Å) after each atom.
Sites, in units of the cell vectors:
H  0.9255  0.9255  0.9255  3 S 1.81
S  0.1344  0.7114  0.1344  1 H 1.81
S  0.7114  0.1344  0.1344  1 H 1.81
S  0.1344  0.1344  0.7114  1 H 1.81
Sn  0.2194  0.2194  0.2194  6 S 2.53-2.73, 1 H 2.77

Output
M_tot ... 0.84 μB per formula unit
Theoretical density ... 2.72 Mg/m³
SG ... No. 160



Result of the stability comparison: B is the most stable of them.



A:
Sr2H2S | GGA-PBE | optimized geometry

a b c (Å): 4.1649 4.1649 14.1503
angles (deg): 90.00 90.00 120.00
With the nearest neighbours (Å) after each atom.
Sites, in units of the cell vectors:
Sr  0.3333  0.6667  0.6204  4 H 2.52-2.56
Sr  0.3333  0.6667  0.8796  4 H 2.52-2.56
Sr  0.6667  0.3333  0.3796  4 H 2.52-2.56
Sr  0.6667  0.3333  0.1204  4 H 2.52-2.56
S  0.0000  0.0000  0.2500  6 Sr 3.02
S  0.0000  0.0000  0.7500  6 Sr 3.02
H  0.6667  0.3333  0.5575  4 Sr 2.52-2.56
H  0.6667  0.3333  0.9425  4 Sr 2.52-2.56
H  0.3333  0.6667  0.4425  4 Sr 2.52-2.56
H  0.3333  0.6667  0.0575  4 Sr 2.52-2.56

Output
M_tot ... 0.00 μB per formula unit
Theoretical density ... 3.27 Mg/m³
SG ... No. 194



B:
Sr2H2S | GGA-PBE | optimized geometry

a b c (Å): 4.2186 7.3093 8.0726
angles (deg): 116.90 105.15 90.00
With the nearest neighbours (Å) after each atom.
Sites, in units of the cell vectors:
H  0.4401  0.1067  0.3807  4 Sr 2.51-2.59
H  0.0594  0.3933  0.6193  4 Sr 2.51-2.59
H  0.5599  0.8933  0.6193  4 Sr 2.51-2.59
H  0.9406  0.6067  0.3807  4 Sr 2.51-2.59
S  0.7502  0.7500  0.0000  6 Sr 3.00
S  0.2498  0.2500  0.0000  6 Sr 3.00
Sr  0.3772  0.7102  0.2540  4 H 2.51-2.59
Sr  0.8768  0.2102  0.2540  4 H 2.51-2.59
Sr  0.1232  0.7898  0.7460  4 H 2.51-2.59
Sr  0.6228  0.2898  0.7460  4 H 2.51-2.59

Output
M_tot ... 0.00 μB per formula unit
Theoretical density ... 3.28 Mg/m³
SG ... No. 164



C:
Sr2H2S | GGA-PBE | optimized geometry

a b c (Å): 3.8606 3.8606 6.9686
angles (deg): 73.92 73.92 90.00
With the nearest neighbours (Å) after each atom.
Sites, in units of the cell vectors:
H  0.2500  0.7500  0.5000  4 Sr 2.43
H  0.7500  0.2500  0.5000  4 Sr 2.43
Sr  0.6346  0.6346  0.7309  4 H 2.43
Sr  0.3654  0.3654  0.2691  4 H 2.43
S  0.0000  0.0000  0.0000  8 Sr 3.23

Output
M_tot ... 0.00 μB per formula unit
Theoretical density ... 3.64 Mg/m³
SG ... No. 139



Result of the stability comparison: B is the most stable of them.



A:
TaHS3 | GGA-PBE | optimized geometry

a b c (Å): 5.8384 5.8386 7.1248
angles (deg): 65.81 65.81 60.00
With the nearest neighbours (Å) after each atom.
Sites, in units of the cell vectors:
S  0.2548  0.5763  0.2705  1 H 1.88
S  0.4238  0.1016  0.7295  1 H 1.88
S  0.7452  0.4237  0.7295  1 H 1.88
S  0.8984  0.2548  0.2705  1 H 1.88
S  0.5762  0.8984  0.2705  1 H 1.88
S  0.1016  0.7452  0.7295  1 H 1.88
Ta  0.8337  0.8337  0.4988  6 S 2.45
Ta  0.1663  0.1663  0.5012  6 S 2.45
H  0.5707  0.5708  0.2877  3 S 1.88
H  0.4293  0.4292  0.7123  3 S 1.88

Output
M_tot ... 0.00 μB per formula unit
Theoretical density ... 4.99 Mg/m³
SG ... No. 148



B:
TaHS3 | GGA-PBE | optimized geometry

a b c (Å): 4.0232 4.0232 4.0232
angles (deg): 90.00 90.00 90.00
With the nearest neighbours (Å) after each atom.
Sites, in units of the cell vectors:
S  0.0000  0.5000  0.0000  2 H 2.01
S  0.5000  0.0000  0.0000  2 H 2.01
S  0.0000  0.0000  0.5000  2 H 2.01
H  0.0000  0.0000  0.0000  6 S 2.01
Ta  0.5000  0.5000  0.5000  12 S 2.84

Output
M_tot ... 0.00 μB per formula unit
Theoretical density ... 7.09 Mg/m³
SG ... No. 221



Result of the stability comparison: A is the most stable of them.



A:
TeH2S | GGA-PBE | optimized geometry

a b c (Å): 4.2798 4.7802 5.5423
angles (deg): 66.35 69.56 71.40
With the nearest neighbours (Å) after each atom.
Sites, in units of the cell vectors:
Te  0.1047  0.5423  0.3202  1 H 1.70
S  0.9786  0.4821  0.9494  1 H 1.37
H  0.0418  0.1615  0.0465  1 S 1.37
H  0.6850  0.6054  0.4844  1 Te 1.70

Output
M_tot ... 0.00 μB per formula unit
Theoretical density ... 2.82 Mg/m³
SG ... No. 1



B:
TeH2S | GGA-PBE | optimized geometry

a b c (Å): 3.7258 3.7347 6.8985
angles (deg): 102.51 97.36 90.31
With the nearest neighbours (Å) after each atom.
Sites, in units of the cell vectors:
H  0.0975  0.0703  0.8249  1 H 0.75
H  0.9890  0.9715  0.8833  1 H 0.75
Te  0.6709  0.7424  0.2941  3 S 2.48-2.76
S  0.2491  0.2318  0.4059  3 Te 2.48-2.76

Output
M_tot ... 0.00 μB per formula unit
Theoretical density ... 2.89 Mg/m³
SG ... No. 1



Result of the stability comparison: A is the most stable of them.